# SrFeSe2O8

A geometry-optimized SrFeSe2O8 structure (GGA+U, Alexandria via LeMat-Bulk). Values from VASP.

## Properties
VASP energy   -68.1 eV for the cell shown
Fermi-level density of states   0.35 states/eV/atom

```
&SYSTEM
  ibrav = 0, nat = 12, ntyp = 4
/
ATOMIC_SPECIES
Fe 55.84 Fe.upf
O 16.00 O.upf
Se 78.96 Se.upf
Sr 87.62 Sr.upf
ATOMIC_POSITIONS angstrom
Fe 0.0000 0.0000 0.0000
O -1.9774 -0.1479 5.9428
O -0.8410 2.3226 9.3113
Se 0.0686 0.7820 3.3063
O 1.5226 0.8144 4.1503
Sr 0.3408 1.5685 6.7308
O -0.9231 1.9387 4.0462
O 1.6047 1.1983 9.4153
O 3.0705 0.3630 6.9221
Se 0.6130 2.3550 10.1553
O -2.3889 2.7739 6.5394
O 2.6591 3.2849 7.5188
CELL_PARAMETERS angstrom
-1.8614 3.5689 3.0695
-2.4308 -1.3233 4.2384
4.9738 0.8913 6.1536
```